(1)
Entry from OQMD via LeMat-Bulk: TaNbS4 after structural relaxation (PBE-GGA).

Lattice parameters (Å, degrees): 3.342 3.342 12.644 90.00 90.00 120.00
Element x y z (fractional)
Nb 0.000 0.000 0.000
S 0.333 0.667 0.124
S 0.000 0.000 0.376
S 0.000 0.000 0.624
S 0.333 0.667 0.876
Ta 0.333 0.667 0.500

- space-group type = P-6m2
- uncorrected energy (eV/atom) = -7.440

(2)
Entry from OQMD via LeMat-Bulk: Nb2Te3S after structural relaxation (PBE-GGA).

Lattice parameters (Å, degrees): 3.614 3.614 13.651 90.00 90.00 120.00
Element x y z (fractional)
Nb 0.667 0.333 0.233
Nb 0.667 0.333 0.753
S 0.000 0.000 0.132
Te 0.000 0.000 0.374
Te 0.333 0.667 0.617
Te 0.333 0.667 0.891

- space-group type = P3m1
- polymorph energy (0 for the lowest one) (eV per atom) = 0.0207

(3)
Entry from OQMD via LeMat-Bulk: Nb2TeS3 after structural relaxation (PBE-GGA).

Lattice parameters (Å, degrees): 11.381 11.381 5.958 90.12 90.12 17.10
Element x y z (fractional)
Nb 0.497 0.497 0.410
Nb 0.994 0.994 0.941
S 0.066 0.066 0.257
S 0.926 0.926 0.263
S 0.433 0.433 0.753
Te 0.585 0.585 0.757

- space-group type = Cm
- uncorrected energy (eV/atom) = -6.825

(4)
Entry from OQMD via LeMat-Bulk: Nb2Te3S after structural relaxation (PBE-GGA).

Lattice parameters (Å, degrees): 6.253 3.599 12.605 90.00 103.87 90.00
Element x y z (fractional)
Nb 0.550 0.000 0.992
Nb 0.093 0.500 0.992
S 0.174 0.000 0.877
Te 0.813 0.500 0.140
Te 0.321 0.000 0.157
Te 0.667 0.500 0.842

- space-group type = Pm
- polymorph energy (0 for the lowest one) (eV per atom) = 0.0000

(5)
Entry from OQMD via LeMat-Bulk: Nb2Te3S after structural relaxation (PBE-GGA).

Lattice parameters (Å, degrees): 3.599 3.599 25.220 90.00 90.00 60.00
Element x y z (fractional)
Nb 0.575 0.575 0.500
Nb 0.075 0.075 0.993
S 0.742 0.742 0.938
Te 0.742 0.742 0.070
Te 0.242 0.242 0.425
Te 0.242 0.242 0.575

- space-group type = Cm
- polymorph energy (0 for the lowest one) (eV per atom) = 0.0241

(6)
Entry from OQMD via LeMat-Bulk: Nb2TeS3 after structural relaxation (PBE-GGA).

Lattice parameters (Å, degrees): 5.975 3.363 9.406 90.00 108.20 90.00
Element x y z (fractional)
Nb 0.416 0.000 0.009
Nb 0.949 0.500 0.013
S 0.840 0.000 0.171
S 0.353 0.500 0.188
S 0.176 0.500 0.834
Te 0.648 0.000 0.784

- space-group type = Pm
- uncorrected energy (eV/atom) = -6.827

(7)
Entry from OQMD via LeMat-Bulk: Nb3TlS5 after structural relaxation (PBE-GGA).

Lattice parameters (Å, degrees): 5.685 5.685 7.353 90.00 90.00 120.00
Element x y z (fractional)
Nb 0.500 0.000 0.500
Nb 0.000 0.500 0.500
Nb 0.500 0.500 0.500
S 0.667 0.333 0.241
S 0.333 0.667 0.241
S 0.000 0.000 0.500
S 0.667 0.333 0.759
S 0.333 0.667 0.759
Tl 0.000 0.000 0.000

- space-group type = P6/mmm
- uncorrected energy (eV/atom) = -6.567

(8)
Entry from OQMD via LeMat-Bulk: Nb2Tl4S11 after structural relaxation (PBE-GGA).

Lattice parameters (Å, degrees): 7.969 9.053 13.426 72.56 88.78 85.49
Element x y z (fractional)
Nb 0.333 0.111 0.189
Nb 0.120 0.364 0.305
Nb 0.880 0.636 0.695
Nb 0.667 0.889 0.811
S 0.271 0.040 0.043
S 0.270 0.398 0.111
S 0.522 0.319 0.116
S 0.892 0.512 0.187
S 0.043 0.646 0.245
S 0.038 0.134 0.253
S 0.588 0.931 0.253
S 0.364 0.868 0.332
S 0.393 0.434 0.350
S 0.390 0.197 0.369
S 0.987 0.292 0.466
S 0.013 0.708 0.534
S 0.610 0.803 0.631
S 0.607 0.566 0.650
S 0.636 0.132 0.668
S 0.412 0.069 0.747
S 0.962 0.866 0.747
S 0.957 0.354 0.755
S 0.108 0.488 0.813
S 0.478 0.681 0.884
S 0.730 0.602 0.889
S 0.729 0.960 0.957
Tl 0.944 0.238 0.025
Tl 0.498 0.727 0.116
Tl 0.759 0.582 0.416
Tl 0.784 0.030 0.428
Tl 0.216 0.970 0.572
Tl 0.241 0.418 0.584
Tl 0.502 0.273 0.884
Tl 0.056 0.762 0.975

- space-group type = P-1
- uncorrected energy (eV/atom) = -4.960

(9)
Entry from OQMD via LeMat-Bulk: NbWS4 after structural relaxation (PBE-GGA).

Lattice parameters (Å, degrees): 10.667 10.667 5.680 90.00 90.00 162.35
Element x y z (fractional)
Nb 0.000 0.000 0.003
S 0.575 0.425 0.170
S 0.425 0.575 0.170
S 0.927 0.073 0.658
S 0.073 0.927 0.658
W 0.500 0.500 0.493

- space-group type = Cmm2
- polymorph energy (0 for the lowest one) (eV per atom) = 0.0000

(10)
Entry from OQMD via LeMat-Bulk: NbWS4 after structural relaxation (PBE-GGA).

Lattice parameters (Å, degrees): 3.273 11.056 11.056 150.22 90.00 90.00
Element x y z (fractional)
Nb 0.000 0.997 0.997
S 0.000 0.414 0.270
S 0.000 0.270 0.414
S 0.500 0.904 0.756
S 0.500 0.756 0.904
W 0.500 0.507 0.507

- space-group type = Amm2
- polymorph energy (0 for the lowest one) (eV per atom) = 0.0000

(11)
Entry from OQMD via LeMat-Bulk: NbWS4 after structural relaxation (PBE-GGA).

Lattice parameters (Å, degrees): 14.866 3.262 3.262 60.00 90.00 90.00
Element x y z (fractional)
Nb 0.000 0.003 0.003
S 0.108 0.336 0.336
S 0.892 0.336 0.336
S 0.396 0.836 0.836
S 0.604 0.836 0.836
W 0.500 0.502 0.502

- space-group type = Amm2
- polymorph energy (0 for the lowest one) (eV per atom) = 0.0062

(12)
Entry from OQMD via LeMat-Bulk: NbSb2 after structural relaxation (PBE-GGA).

Lattice parameters (Å, degrees): 10.746 9.860 5.845 82.07 65.34 32.59
Element x y z (fractional)
Nb 0.378 0.378 0.122
Nb 0.872 0.872 0.128
Nb 0.122 0.122 0.378
Nb 0.128 0.128 0.872
Sb 0.089 0.411 0.089
Sb 0.161 0.839 0.161
Sb 0.411 0.089 0.411
Sb 0.577 0.577 0.423
Sb 0.423 0.423 0.577
Sb 0.827 0.827 0.673
Sb 0.673 0.673 0.827
Sb 0.839 0.161 0.839

- space-group type = Fddd
- uncorrected energy (eV/atom) = -6.274

no.,mass density (g/cm³)
1,5.46
2,6.46
3,3.00
4,3.62
5,3.53
6,3.79
7,5.19
8,4.89
9,3.43
10,3.38
11,4.91
12,8.19